Zr2Ag2S: relaxed, PBE.

Calculated values
The total energy is -5.7937 eV/atom.

Cell and atoms, written as CIF:
```
data_Zr2Ag2S
_cell_length_a 6.706
_cell_length_b 6.706
_cell_length_c 4.680
_cell_angle_alpha 90.00
_cell_angle_beta 90.00
_cell_angle_gamma 90.00
_space_group_name_H-M_alt 'P 4/m b m'
_space_group_IT_number 127
_space_group_name_Hall '-P 4 2ab'
loop_
_atom_site_label
_atom_site_fract_x
_atom_site_fract_y
_atom_site_fract_z
_atom_site_occupancy
Zr1 0.162 0.338 0.000 1
Ag1 0.143 0.643 0.500 1
S1 0.000 0.000 0.000 1
```